# 1
DFT (PBE) results for an optimized crystal structure of Pr5DyTl6.

Calculated values
- formation energy (kJ/mol of atoms) = -37.07
- density of states at the Fermi level (states/eV/f.u.) = 9.68
- final energy (eV per atom) = -3.942

Unit cell a=5.551 b=7.760 c=8.782 alpha=90.00 beta=71.58 gamma=90.00
Fractional coordinates of all 12 atoms:
Pr  0.670  0.500  0.660
Pr  0.334  0.000  0.333
Pr  0.000  0.500  0.000
Pr  0.666  0.000  0.667
Pr  0.330  0.500  0.340
Tl  0.837  0.755  0.326
Tl  0.837  0.245  0.326
Tl  0.500  0.246  0.000
Tl  0.500  0.754  0.000
Tl  0.163  0.755  0.674
Tl  0.163  0.245  0.674
Dy  0.000  0.000  0.000

---

# 2
DFT (PBE) results for an optimized crystal structure of Pr3Dy3Tl2.

Calculated values
- formation energy (kJ/mol of atoms) = -12.30
- density of states at the Fermi level (states/eV/f.u.) = 9.66
- offset from the most stable computed form (meV/atom) = 0
- final energy (eV per atom) = -4.237

Unit cell a=6.272 b=6.272 c=6.272 alpha=90.32 beta=90.32 gamma=89.68
Site moments in Bohr magnetons follow the coordinates.
Fractional coordinates of all 8 atoms:
Pr  0.243  0.757  0.500  0.11
Pr  0.500  0.243  0.243  0.11
Pr  0.757  0.500  0.757  0.11
Dy  0.246  0.754  0.000  0.17
Dy  0.000  0.246  0.246  0.17
Dy  0.754  0.000  0.754  0.17
Tl  0.251  0.251  0.749  0.00
Tl  0.749  0.749  0.251  0.00

---

# 3
DFT (PBE) results for an optimized crystal structure of Pr2DyTl.

Calculated values
- formation energy (kJ/mol of atoms) = -18.89
- density of states at the Fermi level (states/eV/f.u.) = 6.12
- offset from the most stable computed form (meV/atom) = 0
- final energy (eV per atom) = -4.328

Unit cell a=5.059 b=4.936 c=4.936 alpha=90.00 beta=90.00 gamma=90.00
Fractional coordinates of all 4 atoms:
Pr  0.000  0.000  0.500
Pr  0.000  0.500  0.000
Tl  0.500  0.500  0.500
Dy  0.500  0.000  0.000

---

# 4
DFT (PBE) results for an optimized crystal structure of Pr5Dy2Tl4.

Calculated values
- formation energy (kJ/mol of atoms) = -4.45
- density of states at the Fermi level (states/eV/f.u.) = 13.95
- final energy (eV per atom) = -3.916

Unit cell a=3.541 b=8.197 c=12.551 alpha=87.03 beta=98.11 gamma=90.00
Fractional coordinates of all 11 atoms:
Pr  0.141  0.876  0.282
Pr  0.859  0.124  0.718
Pr  0.233  0.217  0.467
Pr  0.500  0.000  0.000
Pr  0.767  0.783  0.533
Dy  0.910  0.717  0.821
Dy  0.090  0.283  0.179
Tl  0.664  0.528  0.328
Tl  0.038  0.647  0.076
Tl  0.336  0.472  0.672
Tl  0.962  0.353  0.924

---

# 5
DFT (PBE) results for an optimized crystal structure of PrDy5Tl3.

Calculated values
- formation energy (kJ/mol of atoms) = -24.98
- density of states at the Fermi level (states/eV/f.u.) = 10.84
- final energy (eV per atom) = -4.135

Unit cell a=6.761 b=9.430 c=9.428 alpha=120.01 beta=90.00 gamma=90.00
Site moments in Bohr magnetons follow the coordinates.
Fractional coordinates of all 18 atoms:
Pr  0.000  0.000  0.000  0.09
Pr  0.500  0.000  0.000  0.09
Dy  0.000  0.667  0.333  0.12
Dy  0.500  0.333  0.667  0.12
Dy  0.000  0.333  0.667  0.12
Dy  0.500  0.667  0.333  0.12
Dy  0.750  0.670  0.670  0.09
Dy  0.750  0.000  0.330  0.09
Dy  0.750  0.330  0.000  0.09
Dy  0.250  0.330  0.330  0.09
Dy  0.250  0.000  0.670  0.09
Dy  0.250  0.670  0.000  0.09
Tl  0.750  0.341  0.341  0.00
Tl  0.750  0.000  0.659  0.00
Tl  0.750  0.659  0.000  0.00
Tl  0.250  0.659  0.659  0.00
Tl  0.250  0.000  0.341  0.00
Tl  0.250  0.341  0.000  0.00

---

# 6
DFT (PBE) results for an optimized crystal structure of Pr2DyTl2.

Calculated values
- formation energy (kJ/mol of atoms) = -27.47
- density of states at the Fermi level (states/eV/f.u.) = 4.23
- offset from the most stable computed form (meV/atom) = 0
- final energy (eV per atom) = -4.063

Unit cell a=3.842 b=5.496 c=14.586 alpha=90.00 beta=97.58 gamma=90.00
Fractional coordinates of all 10 atoms:
Pr  0.048  0.750  0.095
Pr  0.952  0.250  0.905
Pr  0.239  0.750  0.475
Pr  0.761  0.250  0.525
Dy  0.853  0.750  0.703
Dy  0.147  0.250  0.297
Tl  0.644  0.750  0.288
Tl  0.356  0.250  0.712
Tl  0.448  0.750  0.895
Tl  0.552  0.250  0.105

---

# 7
DFT (PBE) results for an optimized crystal structure of Pr2Dy3Tl2.

Calculated values
- formation energy (kJ/mol of atoms) = -18.73
- density of states at the Fermi level (states/eV/f.u.) = 6.78
- final energy (eV per atom) = -4.208

Unit cell a=5.507 b=5.500 c=8.803 alpha=108.25 beta=90.00 gamma=120.04
Fractional coordinates of all 7 atoms:
Pr  0.923  0.846  0.270
Pr  0.077  0.154  0.730
Dy  0.500  0.000  0.000
Dy  0.653  0.307  0.460
Dy  0.347  0.693  0.540
Tl  0.783  0.565  0.848
Tl  0.217  0.435  0.152

---

# 8
DFT (PBE) results for an optimized crystal structure of Pr12DyTl7.

Calculated values
- formation energy (kJ/mol of atoms) = -16.17
- density of states at the Fermi level (states/eV/f.u.) = 23.51
- final energy (eV per atom) = -4.094

Unit cell a=8.663 b=8.663 c=8.663 alpha=89.11 beta=89.11 gamma=89.11
Fractional coordinates of all 20 atoms:
Pr  0.779  0.232  0.644
Pr  0.768  0.356  0.221
Pr  0.432  0.112  0.339
Pr  0.888  0.661  0.568
Pr  0.356  0.221  0.768
Pr  0.661  0.568  0.888
Pr  0.339  0.432  0.112
Pr  0.644  0.779  0.232
Pr  0.112  0.339  0.432
Pr  0.568  0.888  0.661
Pr  0.232  0.644  0.779
Pr  0.221  0.768  0.356
Dy  0.000  0.000  0.000
Tl  0.983  0.643  0.106
Tl  0.357  0.894  0.017
Tl  0.894  0.017  0.357
Tl  0.500  0.500  0.500
Tl  0.106  0.983  0.643
Tl  0.643  0.106  0.983
Tl  0.017  0.357  0.894

---

# 9
DFT (PBE) results for an optimized crystal structure of Pr2DyTl.

Calculated values
- formation energy (kJ/mol of atoms) = -6.77
- density of states at the Fermi level (states/eV/f.u.) = 6.24
- offset from the most stable computed form (meV/atom) = 126
- final energy (eV per atom) = -4.202

Unit cell a=5.622 b=5.622 c=5.622 alpha=60.00 beta=60.00 gamma=60.00
Site moments in Bohr magnetons follow the coordinates.
Fractional coordinates of all 4 atoms:
Pr  0.250  0.250  0.250  0.17
Pr  0.750  0.750  0.750  0.17
Tl  0.000  0.000  0.000  0.00
Dy  0.500  0.500  0.500  0.32

---

# 10
DFT (PBE) results for an optimized crystal structure of Pr2DyTl.

Calculated values
- formation energy (kJ/mol of atoms) = 7.52
- density of states at the Fermi level (states/eV/f.u.) = 4.36
- offset from the most stable computed form (meV/atom) = 274
- final energy (eV per atom) = -4.054

Unit cell a=3.610 b=3.610 c=12.604 alpha=81.77 beta=81.77 gamma=60.00
Fractional coordinates of all 4 atoms:
Pr  0.089  0.089  0.733
Pr  0.911  0.911  0.267
Tl  0.000  0.000  0.000
Dy  0.500  0.500  0.500

---

# 11
DFT (PBE) results for an optimized crystal structure of PrDy8Tl2.

Calculated values
- formation energy (kJ/mol of atoms) = -0.35
- density of states at the Fermi level (states/eV/f.u.) = 14.49
- final energy (eV per atom) = -4.215

Unit cell a=5.678 b=8.773 c=8.773 alpha=119.44 beta=101.84 gamma=101.84
Fractional coordinates of all 11 atoms:
Pr  0.500  0.000  0.000
Dy  0.879  0.906  0.678
Dy  0.879  0.678  0.906
Dy  0.295  0.592  0.592
Dy  0.500  0.779  0.221
Dy  0.500  0.221  0.779
Dy  0.705  0.408  0.408
Dy  0.121  0.322  0.094
Dy  0.121  0.094  0.322
Tl  0.000  0.306  0.694
Tl  0.000  0.694  0.306

---

# 12
DFT (PBE) results for an optimized crystal structure of Pr9Dy2Tl.

Calculated values
- formation energy (kJ/mol of atoms) = -4.87
- density of states at the Fermi level (states/eV/f.u.) = 15.02
- final energy (eV per atom) = -4.599

Unit cell a=5.109 b=5.109 c=15.641 alpha=90.00 beta=90.00 gamma=90.00
Fractional coordinates of all 12 atoms:
Pr  0.500  0.500  0.000
Pr  0.500  0.500  0.331
Pr  0.500  0.500  0.669
Pr  0.500  0.000  0.162
Pr  0.500  0.000  0.500
Pr  0.500  0.000  0.838
Pr  0.000  0.500  0.162
Pr  0.000  0.500  0.500
Pr  0.000  0.500  0.838
Dy  0.000  0.000  0.332
Dy  0.000  0.000  0.668
Tl  0.000  0.000  0.000

---

# 13
DFT (PBE) results for an optimized crystal structure of Pr2DyTl.

Calculated values
- formation energy (kJ/mol of atoms) = -16.82
- density of states at the Fermi level (states/eV/f.u.) = 4.43
- offset from the most stable computed form (meV/atom) = 21
- final energy (eV per atom) = -4.306

Unit cell a=6.892 b=6.966 c=6.966 alpha=72.93 beta=60.35 gamma=60.35
Fractional coordinates of all 8 atoms:
Pr  0.202  0.298  0.798
Pr  0.298  0.702  0.202
Pr  0.798  0.702  0.202
Pr  0.702  0.298  0.798
Dy  0.750  0.183  0.317
Dy  0.250  0.817  0.683
Tl  0.250  0.198  0.302
Tl  0.750  0.802  0.698

---

# 14
DFT (PBE) results for an optimized crystal structure of PrDy2Tl3.

Calculated values
- formation energy (kJ/mol of atoms) = -35.21
- density of states at the Fermi level (states/eV/f.u.) = 4.33
- final energy (eV per atom) = -3.879

Unit cell a=3.800 b=3.800 c=11.761 alpha=90.00 beta=90.00 gamma=90.00
Fractional coordinates of all 6 atoms:
Pr  0.500  0.500  0.500
Dy  0.500  0.500  0.839
Dy  0.500  0.500  0.161
Tl  0.000  0.000  0.000
Tl  0.000  0.000  0.679
Tl  0.000  0.000  0.321

---

# 15
DFT (PBE) results for an optimized crystal structure of Pr5Dy4Tl.

Calculated values
- formation energy (kJ/mol of atoms) = 16.07
- density of states at the Fermi level (states/eV/f.u.) = 14.58
- offset from the most stable computed form (meV/atom) = 156
- final energy (eV per atom) = -4.301

Unit cell a=6.054 b=8.156 c=8.156 alpha=82.08 beta=68.21 gamma=68.21
Fractional coordinates of all 10 atoms:
Pr  0.761  0.377  0.000
Pr  0.138  0.000  0.623
Pr  0.761  0.000  0.377
Pr  0.138  0.623  0.000
Pr  0.666  0.000  0.000
Dy  0.464  0.321  0.679
Dy  0.785  0.679  0.679
Dy  0.144  0.321  0.321
Dy  0.465  0.679  0.321
Tl  0.188  0.000  0.000

---

# 16
DFT (PBE) results for an optimized crystal structure of Pr4Dy9Tl11.

Calculated values
- formation energy (kJ/mol of atoms) = -26.64
- density of states at the Fermi level (states/eV/f.u.) = 24.43
- final energy (eV per atom) = -3.883

Unit cell a=3.583 b=14.248 c=14.248 alpha=109.88 beta=90.00 gamma=90.00
Fractional coordinates of all 24 atoms:
Pr  0.500  0.589  0.752
Pr  0.500  0.411  0.248
Pr  0.500  0.752  0.589
Pr  0.500  0.248  0.411
Dy  0.500  0.612  0.161
Dy  0.500  0.388  0.839
Dy  0.500  0.161  0.612
Dy  0.500  0.839  0.388
Dy  0.500  0.797  0.989
Dy  0.500  0.203  0.011
Dy  0.500  0.989  0.797
Dy  0.500  0.011  0.203
Dy  0.500  0.500  0.500
Tl  0.000  0.591  0.956
Tl  0.000  0.409  0.044
Tl  0.000  0.956  0.591
Tl  0.000  0.044  0.409
Tl  0.000  0.624  0.376
Tl  0.000  0.376  0.624
Tl  0.000  0.812  0.188
Tl  0.000  0.188  0.812
Tl  0.000  0.000  0.000
Tl  0.000  0.798  0.798
Tl  0.000  0.202  0.202

---

# 17
DFT (PBE) results for an optimized crystal structure of Pr6DyTl2.

Calculated values
- formation energy (kJ/mol of atoms) = -14.81
- density of states at the Fermi level (states/eV/f.u.) = 10.87
- offset from the most stable computed form (meV/atom) = 0
- final energy (eV per atom) = -4.377

Unit cell a=3.859 b=6.914 c=12.207 alpha=74.41 beta=80.90 gamma=73.79
Fractional coordinates of all 9 atoms:
Pr  0.681  0.514  0.123
Pr  0.319  0.486  0.877
Pr  0.305  0.796  0.593
Pr  0.982  0.693  0.343
Pr  0.018  0.307  0.657
Pr  0.695  0.204  0.407
Dy  0.000  0.000  0.000
Tl  0.364  0.079  0.193
Tl  0.636  0.921  0.807

---

# 18
DFT (PBE) results for an optimized crystal structure of Pr15Dy2Tl2.

Calculated values
- formation energy (kJ/mol of atoms) = 15.48
- density of states at the Fermi level (states/eV/f.u.) = 21.56
- final energy (eV per atom) = -4.346

Unit cell a=8.883 b=8.883 c=8.883 alpha=77.57 beta=77.57 gamma=77.57
Fractional coordinates of all 19 atoms:
Pr  0.000  0.500  0.000
Pr  0.000  0.000  0.500
Pr  0.500  0.000  0.000
Pr  0.290  0.000  0.710
Pr  0.710  0.290  0.000
Pr  0.000  0.710  0.290
Pr  0.290  0.710  0.000
Pr  0.000  0.290  0.710
Pr  0.710  0.000  0.290
Pr  0.393  0.833  0.393
Pr  0.393  0.393  0.833
Pr  0.833  0.393  0.393
Pr  0.607  0.167  0.607
Pr  0.607  0.607  0.167
Pr  0.167  0.607  0.607
Dy  0.698  0.698  0.698
Dy  0.302  0.302  0.302
Tl  0.899  0.899  0.899
Tl  0.101  0.101  0.101

---

# 19
DFT (PBE) results for an optimized crystal structure of PrDy6Tl5.

Calculated values
- formation energy (kJ/mol of atoms) = -16.21
- density of states at the Fermi level (states/eV/f.u.) = 13.01
- offset from the most stable computed form (meV/atom) = 103
- final energy (eV per atom) = -3.853

Unit cell a=10.551 b=6.285 c=6.307 alpha=60.11 beta=84.20 gamma=78.31
Site moments in Bohr magnetons follow the coordinates.
Fractional coordinates of all 12 atoms:
Pr  0.000  0.000  0.000  0.34
Dy  0.740  0.086  0.349  0.11
Dy  0.260  0.565  0.349  0.11
Dy  0.258  0.263  0.000  0.11
Dy  0.742  0.737  0.000  0.11
Dy  0.740  0.435  0.651  0.11
Dy  0.260  0.914  0.651  0.11
Tl  0.500  0.162  0.675  0.00
Tl  0.000  0.332  0.335  0.01
Tl  0.500  0.500  0.000  0.00
Tl  0.000  0.668  0.665  0.01
Tl  0.500  0.838  0.325  0.00

---

# 20
DFT (PBE) results for an optimized crystal structure of Pr5Dy4Tl.

Calculated values
- formation energy (kJ/mol of atoms) = 0.99
- density of states at the Fermi level (states/eV/f.u.) = 16.71
- offset from the most stable computed form (meV/atom) = 0
- final energy (eV per atom) = -4.457

Unit cell a=4.232 b=4.232 c=18.429 alpha=90.00 beta=90.00 gamma=90.00
Fractional coordinates of all 10 atoms:
Pr  0.500  0.500  0.091
Pr  0.500  0.500  0.295
Pr  0.500  0.500  0.500
Pr  0.500  0.500  0.705
Pr  0.500  0.500  0.909
Dy  0.000  0.000  0.194
Dy  0.000  0.000  0.398
Dy  0.000  0.000  0.602
Dy  0.000  0.000  0.806
Tl  0.000  0.000  0.000